(1)
# Cs4AuI2

An optimized crystal structure of Cs4AuI2 (PBE, Alexandria via LeMat-Bulk).

```
Cs4AuI2
1.0
20.5604 0.0000 0.0000
0.0000 5.2567 0.0000
-4.1244 0.0000 8.4328
Cs Au I
8 2 4
Direct
0.1206 0.0000 0.4412
0.1221 0.5000 0.9666
0.3779 0.0000 0.0334
0.3794 0.5000 0.5588
0.6206 0.5000 0.4412
0.6221 0.0000 0.9666
0.8779 0.5000 0.0334
0.8794 0.0000 0.5588
0.0000 0.0000 0.0000
0.5000 0.5000 0.0000
0.2429 0.5000 0.7427
0.2571 0.0000 0.2573
0.7429 0.0000 0.7427
0.7571 0.5000 0.2573
```

Computed properties:
For the energy above the most stable polymorph in this dataset, the calculation gives 0.000 eV/f.u. The calculation puts the calculated total energy at -2.34 eV/atom. As for the raw formation energy: -21.69 kcal/mol of atoms. As for the space group: No. 12.

---

(2)
# LaTbSiGe

An optimized crystal structure of LaTbSiGe (PBE, Alexandria via LeMat-Bulk).

```
LaTbSiGe
1.0
3.9893 0.0000 0.0000
0.0000 4.4713 0.0000
0.0000 0.0000 11.0176
La Tb Si Ge
2 2 2 2
Direct
0.0000 0.0000 0.0000
0.0000 0.5000 0.5000
0.5000 0.0000 0.2773
0.5000 0.5000 0.7773
0.0000 0.0000 0.7215
0.0000 0.5000 0.2215
0.5000 0.0000 0.5686
0.5000 0.5000 0.0686
```

Computed properties:
The calculation puts the calculated total energy at -5.68 eV/atom. As for the raw formation energy: -18.06 kcal/mol of atoms. As for the space group: No. 38.

---

no.,N(E_F) (states/eV/f.u.)
1,2.575
2,3.363